Entry a
DFT (PBE-GGA) results for YTlSi after structural relaxation.

Results
Space group: P3m1, No. 156

POSCAR file:
```
YTlSi
1.0
4.2856 0.0000 0.0000
-2.1428 3.7115 0.0000
0.0000 0.0000 4.7073
Y Tl Si
1 1 1
direct
0.0000 0.0000 0.0000 Y
0.3333 0.6667 0.5698 Tl
0.6667 0.3333 0.3116 Si
```

***

Entry b
DFT (PBE-GGA) results for YTlSi after structural relaxation.

Results
Space group: R-3m, No. 166

POSCAR file:
```
YTlSi
1.0
1.8770 1.0837 12.3824
-1.8770 1.0837 12.3824
0.0000 -2.1674 12.3824
Y Tl Si
2 2 2
direct
0.0992 0.0992 0.0992 Y
0.9008 0.9008 0.9008 Y
0.3643 0.3643 0.3643 Tl
0.6357 0.6357 0.6357 Tl
0.1804 0.1804 0.1804 Si
0.8196 0.8196 0.8196 Si
```

***

Entry c
DFT (PBE-GGA) results for YTlSi after structural relaxation.

Results
Space group: I4mm, No. 107

POSCAR file:
```
YTlSi
1.0
-1.7626 1.7626 5.7850
1.7626 -1.7626 5.7850
1.7626 1.7626 -5.7850
Y Tl Si
1 1 1
direct
0.0000 0.0000 0.0000 Y
0.7044 0.7044 0.0000 Tl
0.3546 0.3546 0.0000 Si
```

***

entry b is the most stable structure; the next one sits 69 meV/atom above it.

***

Entry a
DFT (PBE-GGA) results for YTlSi after structural relaxation.

Results
Space group: F-43m, No. 216

POSCAR file:
```
YTlSi
1.0
0.0000 3.4857 3.4857
3.4857 0.0000 3.4857
3.4857 3.4857 0.0000
Y Tl Si
1 1 1
direct
0.0000 0.0000 0.0000 Y
0.2500 0.2500 0.2500 Tl
0.7500 0.7500 0.7500 Si
```

***

Entry b
DFT (PBE-GGA) results for YTlSi after structural relaxation.

Results
Space group: P3m1, No. 156

POSCAR file:
```
YTlSi
1.0
3.4066 0.0000 0.0000
-1.7033 2.9502 0.0000
0.0000 0.0000 7.4004
Y Tl Si
1 1 1
direct
0.0000 0.0000 0.0000 Y
0.3333 0.6667 0.6227 Tl
0.6667 0.3333 0.3109 Si
```

***

entry a is the most stable structure; the next one sits 110 meV/atom above it.

***

Entry a
DFT (PBE-GGA) results for YTlSi after structural relaxation.

Results
Space group: F-43m, No. 216

POSCAR file:
```
YTlSi
1.0
0.0000 3.4048 3.4048
3.4048 0.0000 3.4048
3.4048 3.4048 0.0000
Y Tl Si
1 1 1
direct
0.0000 0.0000 0.0000 Y
0.5000 0.5000 0.5000 Tl
0.2500 0.2500 0.2500 Si
```

***

Entry b
DFT (PBE-GGA) results for YTlSi after structural relaxation.

Results
Space group: Fmm2, No. 42

POSCAR file:
```
YTlSi
1.0
0.0000 2.8931 5.7818
2.1927 0.0000 5.7818
2.1927 2.8931 0.0000
Y Tl Si
1 1 1
direct
0.0000 0.0000 0.0000 Y
0.2997 0.2997 0.7003 Tl
0.6506 0.6506 0.3494 Si
```

***

entry b is the most stable structure; the next one sits 83 meV/atom above it.

***

Entry a
DFT (PBE-GGA) results for YTl2Si2 after structural relaxation.

Results
Space group: P4/mbm, No. 127

POSCAR file:
```
YTl2Si2
1.0
7.4076 0.0000 0.0000
0.0000 7.4076 0.0000
0.0000 0.0000 4.3676
Y Tl Si
2 4 4
direct
0.0000 0.0000 0.0000 Y
0.5000 0.5000 0.0000 Y
0.1824 0.3176 0.5000 Tl
0.3176 0.8176 0.5000 Tl
0.6824 0.1824 0.5000 Tl
0.8176 0.6824 0.5000 Tl
0.1121 0.6121 0.0000 Si
0.3879 0.1121 0.0000 Si
0.6121 0.8879 0.0000 Si
0.8879 0.3879 0.0000 Si
```

***

Entry b
DFT (PBE-GGA) results for YTl2Si2 after structural relaxation.

Results
Space group: P4/mbm, No. 127

POSCAR file:
```
YTl2Si2
1.0
8.1323 0.0000 0.0000
0.0000 8.1323 0.0000
0.0000 0.0000 3.5924
Y Tl Si
2 4 4
direct
0.0000 0.0000 0.0000 Y
0.5000 0.5000 0.0000 Y
0.1324 0.3676 0.0000 Tl
0.3676 0.8676 0.0000 Tl
0.6324 0.1324 0.0000 Tl
0.8676 0.6324 0.0000 Tl
0.1669 0.6669 0.5000 Si
0.3331 0.1669 0.5000 Si
0.6669 0.8331 0.5000 Si
0.8331 0.3331 0.5000 Si
```

***

entry a is the most stable structure; the next one sits 267 meV/atom above it.

***

Entry a
DFT (PBE-GGA) results for YTlSi2 after structural relaxation.

Results
Space group: Pmmm, No. 47

POSCAR file:
```
YTlSi2
1.0
3.8490 0.0000 0.0000
0.0000 3.9345 0.0000
0.0000 0.0000 6.3736
Y Tl Si
1 1 2
direct
0.0000 0.0000 0.0000 Y
0.0000 0.0000 0.5000 Tl
0.5000 0.5000 0.1840 Si
0.5000 0.5000 0.8160 Si
```

***

Entry b
DFT (PBE-GGA) results for YTlSi2 after structural relaxation.

Results
Space group: R3m, No. 160

POSCAR file:
```
YTlSi2
1.0
1.8792 1.0850 7.8773
-1.8792 1.0850 7.8773
0.0000 -2.1700 7.8773
Y Tl Si
1 1 2
direct
0.0000 0.0000 0.0000 Y
0.2269 0.2269 0.2269 Tl
0.4553 0.4553 0.4553 Si
0.7488 0.7488 0.7488 Si
```

***

Entry c
DFT (PBE-GGA) results for YTlSi2 after structural relaxation.

Results
Space group: R-3m, No. 166

POSCAR file:
```
YTlSi2
1.0
1.7557 1.0137 8.8561
-1.7557 1.0137 8.8561
0.0000 -2.0273 8.8561
Y Tl Si
1 1 2
direct
0.0000 0.0000 0.0000 Y
0.5000 0.5000 0.5000 Tl
0.2507 0.2507 0.2507 Si
0.7493 0.7493 0.7493 Si
```

***

Entry d
DFT (PBE-GGA) results for YTlSi2 after structural relaxation.

Results
Space group: Imm2, No. 44

POSCAR file:
```
YTlSi2
1.0
-1.8634 2.3613 4.9687
1.8634 -2.3613 4.9687
1.8634 2.3613 -4.9687
Y Tl Si
1 1 2
direct
0.0000 0.0000 0.0000 Y
0.7183 0.2183 0.5000 Tl
0.2677 0.7677 0.5000 Si
0.4280 0.4280 0.0000 Si
```

***

entry d is the most stable structure; the next one sits 47 meV/atom above it.

***

Entry a
DFT (PBE-GGA) results for YTlSi2 after structural relaxation.

Results
Space group: P4mm, No. 99

POSCAR file:
```
YTlSi2
1.0
3.5153 0.0000 0.0000
0.0000 3.5153 0.0000
0.0000 0.0000 6.8818
Y Tl Si
1 1 2
direct
0.0000 0.0000 0.0000 Y
0.5000 0.5000 0.6747 Tl
0.0000 0.0000 0.4096 Si
0.5000 0.5000 0.2594 Si
```

***

Entry b
DFT (PBE-GGA) results for YTlSi2 after structural relaxation.

Results
Space group: P4/mmm, No. 123

POSCAR file:
```
YTlSi2
1.0
3.2830 0.0000 0.0000
0.0000 3.2830 0.0000
0.0000 0.0000 8.5985
Y Tl Si
1 1 2
direct
0.0000 0.0000 0.0000 Y
0.0000 0.0000 0.5000 Tl
0.5000 0.5000 0.2273 Si
0.5000 0.5000 0.7727 Si
```

***

Entry c
DFT (PBE-GGA) results for YTlSi2 after structural relaxation.

Results
Space group: Pm, No. 6

POSCAR file:
```
YTlSi2
1.0
4.4716 0.0000 0.0000
0.0000 3.8018 0.0000
-1.2689 0.0000 5.3957
Y Tl Si
1 1 2
direct
0.0000 0.0000 0.0000 Y
0.7475 0.5000 0.4100 Tl
0.3105 0.0000 0.5713 Si
0.4450 0.5000 0.8541 Si
```

***

Entry d
DFT (PBE-GGA) results for YTlSi2 after structural relaxation.

Results
Space group: I-42d, No. 122

POSCAR file:
```
YTlSi2
1.0
-3.8268 3.8268 3.1487
3.8268 -3.8268 3.1487
3.8268 3.8268 -3.1487
Y Tl Si
2 2 4
direct
0.0000 0.0000 0.0000 Y
0.7500 0.2500 0.5000 Y
0.2500 0.7500 0.5000 Tl
0.5000 0.5000 0.0000 Tl
0.1489 0.6250 0.0239 Si
0.3750 0.3989 0.5239 Si
0.6011 0.1250 0.9761 Si
0.8750 0.8511 0.4761 Si
```

***

entry c is the most stable structure; the next one sits 124 meV/atom above it.

***

Entry a
DFT (PBE-GGA) results for Y2Tl2Si after structural relaxation.

Results
Space group: P4/mbm, No. 127

POSCAR file:
```
Y2Tl2Si
1.0
7.5820 0.0000 0.0000
0.0000 7.5820 0.0000
0.0000 0.0000 4.8905
Y Tl Si
4 4 2
direct
0.1651 0.3349 0.0000 Y
0.3349 0.8349 0.0000 Y
0.6651 0.1651 0.0000 Y
0.8349 0.6651 0.0000 Y
0.1480 0.6480 0.5000 Tl
0.3520 0.1480 0.5000 Tl
0.6480 0.8520 0.5000 Tl
0.8520 0.3520 0.5000 Tl
0.0000 0.0000 0.0000 Si
0.5000 0.5000 0.0000 Si
```

***

Entry b
DFT (PBE-GGA) results for Y2Tl2Si after structural relaxation.

Results
Space group: P4/mbm, No. 127

POSCAR file:
```
Y2Tl2Si
1.0
7.4901 0.0000 0.0000
0.0000 7.4901 0.0000
0.0000 0.0000 4.6463
Y Tl Si
4 4 2
direct
0.1687 0.3313 0.0000 Y
0.3313 0.8313 0.0000 Y
0.6687 0.1687 0.0000 Y
0.8313 0.6687 0.0000 Y
0.1403 0.6403 0.5000 Tl
0.3597 0.1403 0.5000 Tl
0.6403 0.8597 0.5000 Tl
0.8597 0.3597 0.5000 Tl
0.0000 0.0000 0.5000 Si
0.5000 0.5000 0.5000 Si
```

***

entry a is the most stable structure; the next one sits 29 meV/atom above it.

***

Entry a
DFT (PBE-GGA) results for YTl3Si after structural relaxation.

Results
Space group: Pm-3m, No. 221

POSCAR file:
```
YTl3Si
1.0
5.8215 0.0000 0.0000
0.0000 5.8215 0.0000
0.0000 0.0000 5.8215
Y Tl Si
1 3 1
direct
0.0000 0.0000 0.0000 Y
0.0000 0.0000 0.5000 Tl
0.0000 0.5000 0.0000 Tl
0.5000 0.0000 0.0000 Tl
0.5000 0.5000 0.5000 Si
```

***

Entry b
DFT (PBE-GGA) results for YTl3Si after structural relaxation.

Results
Space group: Pm-3m, No. 221

POSCAR file:
```
YTl3Si
1.0
5.3104 0.0000 0.0000
0.0000 5.3104 0.0000
0.0000 0.0000 5.3104
Y Tl Si
1 3 1
direct
0.0000 0.0000 0.0000 Y
0.0000 0.5000 0.5000 Tl
0.5000 0.0000 0.5000 Tl
0.5000 0.5000 0.0000 Tl
0.5000 0.5000 0.5000 Si
```

***

entry b is the most stable structure; the next one sits 531 meV/atom above it.